# 1
# PBE PmFe5C2, optimized geometry
data_PmFe5C2
_chemical_formula_sum 'Pm2 Fe10 C4'
_cell_length_a 3.3544
_cell_length_b 6.4521
_cell_length_c 8.4276
_cell_angle_alpha 90.00
_cell_angle_beta 90.00
_cell_angle_gamma 90.00
_symmetry_space_group_name_H-M 'I m m m'
_symmetry_Int_Tables_number 71
_symmetry_space_group_name_Hall '-I 2 2'
loop_
_atom_site_label
_atom_site_type_symbol
_atom_site_fract_x
_atom_site_fract_y
_atom_site_fract_z
_atom_site_occupancy
Pm1 Pm 0.0000 0.0000 0.0000 1
Fe1 Fe 0.0000 0.1848 0.3359 1
Fe2 Fe 0.0000 0.5000 0.0000 1
C1 C 0.0000 0.5000 0.2404 1
# **VASP energy**: -129.93 eV per cell
# **Formation energy from the elements**: 0.55 eV per formula unit

---

# 2
# PBE Pm12Fe3C5, optimized geometry
data_Pm12Fe3C5
_chemical_formula_sum 'Pm96 Fe24 C40'
_cell_length_a 15.6857
_cell_length_b 15.6857
_cell_length_c 15.6857
_cell_angle_alpha 90.00
_cell_angle_beta 90.00
_cell_angle_gamma 90.00
_symmetry_space_group_name_H-M 'I a -3 d'
_symmetry_Int_Tables_number 230
_symmetry_space_group_name_Hall '-I 4bd 2c 3'
loop_
_atom_site_label
_atom_site_type_symbol
_atom_site_fract_x
_atom_site_fract_y
_atom_site_fract_z
_atom_site_occupancy
Pm1 Pm 0.0247 0.0567 0.6534 1
Fe1 Fe 0.0000 0.2500 0.1250 1
C1 C 0.0000 0.0000 0.0000 1
C2 C 0.0000 0.2500 0.3750 1
# **VASP energy**: -991.19 eV per cell
# **Formation energy from the elements**: 4.62 eV per formula unit

---

# 3
# PBE PmFe2C, optimized geometry
data_PmFe2C
_chemical_formula_sum 'Pm4 Fe8 C4'
_cell_length_a 5.9870
_cell_length_b 3.3974
_cell_length_c 10.8129
_cell_angle_alpha 90.00
_cell_angle_beta 90.00
_cell_angle_gamma 90.00
_symmetry_space_group_name_H-M 'P n m a'
_symmetry_Int_Tables_number 62
loop_
_symmetry_equiv_pos_as_xyz
'x,y,z'
'-x,-y,-z'
'-x+1/2,-y,z+1/2'
'x+1/2,y,-z+1/2'
'x+1/2,-y+1/2,-z+1/2'
'-x+1/2,y+1/2,z+1/2'
'-x,y+1/2,-z'
'x,-y+1/2,z'
loop_
_atom_site_label
_atom_site_type_symbol
_atom_site_fract_x
_atom_site_fract_y
_atom_site_fract_z
_atom_site_occupancy
Pm1 Pm 0.2175 0.2500 0.2086 1
Fe1 Fe 0.0677 0.7500 0.4398 1
Fe2 Fe 0.1451 0.7500 0.9804 1
C1 C 0.1031 0.2500 0.8977 1
# **VASP energy**: -124.04 eV per cell
# **Formation energy from the elements**: -0.11 eV per formula unit

---

# 4
# PBE Pm2FeC, optimized geometry
data_Pm2FeC
_chemical_formula_sum 'Pm4 Fe2 C2'
_cell_length_a 3.6446
_cell_length_b 3.6887
_cell_length_c 13.5395
_cell_angle_alpha 90.00
_cell_angle_beta 90.00
_cell_angle_gamma 90.00
_symmetry_space_group_name_H-M 'I m m m'
_symmetry_Int_Tables_number 71
_symmetry_space_group_name_Hall '-I 2 2'
loop_
_atom_site_label
_atom_site_type_symbol
_atom_site_fract_x
_atom_site_fract_y
_atom_site_fract_z
_atom_site_occupancy
Pm1 Pm 0.0000 0.0000 0.1270 1
Fe1 Fe 0.0000 0.0000 0.5000 1
C1 C 0.0000 0.5000 0.5000 1
# **VASP energy**: -55.34 eV per cell
# **Formation energy from the elements**: -0.48 eV per formula unit

---

# 5
# PBE Pm3FeC3, optimized geometry
data_Pm3FeC3
_chemical_formula_sum 'Pm12 Fe4 C12'
_cell_length_a 8.6166
_cell_length_b 10.5456
_cell_length_c 5.2822
_cell_angle_alpha 90.00
_cell_angle_beta 90.00
_cell_angle_gamma 90.00
_symmetry_space_group_name_H-M 'C m c m'
_symmetry_Int_Tables_number 63
_symmetry_space_group_name_Hall '-C 2c 2'
loop_
_atom_site_label
_atom_site_type_symbol
_atom_site_fract_x
_atom_site_fract_y
_atom_site_fract_z
_atom_site_occupancy
Pm1 Pm 0.0000 0.1079 0.2500 1
Pm2 Pm 0.2093 0.3777 0.2500 1
Fe1 Fe 0.0000 0.2989 0.7500 1
C1 C 0.0000 0.1253 0.7500 1
C2 C 0.1916 0.3670 0.7500 1
# **VASP energy**: -205.40 eV per cell
# **Formation energy from the elements**: -0.96 eV per formula unit

---

# 6
# PBE PmFeC2, optimized geometry
data_PmFeC2
_chemical_formula_sum 'Pm2 Fe2 C4'
_cell_length_a 5.5520
_cell_length_b 5.8424
_cell_length_c 3.5781
_cell_angle_alpha 90.00
_cell_angle_beta 90.00
_cell_angle_gamma 90.00
_symmetry_space_group_name_H-M 'C m m m'
_symmetry_Int_Tables_number 65
_symmetry_space_group_name_Hall '-C 2 2'
loop_
_atom_site_label
_atom_site_type_symbol
_atom_site_fract_x
_atom_site_fract_y
_atom_site_fract_z
_atom_site_occupancy
Pm1 Pm 0.0000 0.0000 0.0000 1
Fe1 Fe 0.0000 0.5000 0.0000 1
C1 C 0.1269 0.5000 0.5000 1
# **VASP energy**: -61.38 eV per cell
# **Formation energy from the elements**: 0.97 eV per formula unit